No. 1
A geometry-optimized NpRhPb2O6 structure. Source: the Alexandria database, functional PBE.

Computed properties:
Density: 9.296 g/cm3
Uncorrected formation energy: -1.620 eV/atom

abc: 11.0545 5.7793 4.9486
angles: 90.00 106.09 90.00
Space group C2/m (No. 12)
One atom of each set of equivalent atoms:
Np 0.0000 0.0000 0.0000
Rh 0.0000 0.5000 0.5000
Pb 0.2174 0.5000 0.2112
O 0.0824 0.2607 0.7899
O 0.1630 0.0000 0.2781

=====

No. 2
A geometry-optimized NpRh2PbO8 structure. Source: the Alexandria database, functional PBE.

Computed properties:
Density: 8.305 g/cm3
Uncorrected formation energy: -1.359 eV/atom

abc: 4.8113 6.6292 4.8772
angles: 90.00 90.22 90.00
Space group P2/m (No. 10)
One atom of each set of equivalent atoms:
Np 0.0000 0.0000 0.0000
Rh 0.5000 0.2491 0.5000
Pb 0.0000 0.5000 0.0000
O 0.2231 0.2285 0.8057
O 0.2988 0.0000 0.3244
O 0.3043 0.5000 0.3518

=====

No. 3
A geometry-optimized NpRhPbO6 structure. Source: the Alexandria database, functional PBE.

Computed properties:
Density: 7.791 g/cm3
Uncorrected formation energy: -1.758 eV/atom

abc: 5.2838 5.2838 11.3386
angles: 90.00 90.00 120.00
Space group P-31c (No. 163)
One atom of each set of equivalent atoms:
Np 0.3333 0.6667 0.2500
Rh 0.3333 0.6667 0.7500
Pb 0.0000 0.0000 0.0000
O 0.0000 0.3591 0.1481

=====

No. 4
A geometry-optimized NpRuPb2O6 structure. Source: the Alexandria database, functional PBE.

Computed properties:
Density: 9.122 g/cm3
Uncorrected formation energy: -1.604 eV/atom

abc: 11.1615 5.7905 4.9982
angles: 90.00 107.02 90.00
Space group C2/m (No. 12)
One atom of each set of equivalent atoms:
Np 0.0000 0.0000 0.0000
Ru 0.0000 0.5000 0.5000
Pb 0.2205 0.5000 0.2133
O 0.0793 0.2639 0.7859
O 0.1646 0.0000 0.2785

=====

No. 5
A geometry-optimized NpSbPb2O6 structure. Source: the Alexandria database, functional PBE.

Computed properties:
Density: 7.907 g/cm3
Uncorrected formation energy: -1.712 eV/atom

abc: 6.1735 8.6651 6.8245
angles: 90.00 90.00 90.00
Space group Pmmn (No. 59, origin choice 2)
One atom of each set of equivalent atoms:
Np 0.2500 0.2500 0.2319
Sb 0.2500 0.7500 0.1764
Pb 0.2500 0.5456 0.6349
O 0.0119 0.7500 0.5528
O 0.0139 0.7500 0.9745
O 0.2500 0.0065 0.2788

=====

No. 6
A geometry-optimized NpSbPbO6 structure. Source: the Alexandria database, functional PBE.

Computed properties:
Density: 6.896 g/cm3
Uncorrected formation energy: -1.902 eV/atom

abc: 5.2062 5.2062 11.7619
angles: 90.00 90.00 90.00
Space group P4_2nm (No. 102)
One atom of each set of equivalent atoms:
Np 0.0000 0.0000 0.0000
Sb 0.0000 0.0000 0.3768
Pb 0.0000 0.0000 0.6637
O 0.1764 0.1764 0.1190
O 0.1868 0.1868 0.8800
O 0.1889 0.1889 0.4973

=====

No. 7
A geometry-optimized NpSc2PbO8 structure. Source: the Alexandria database, functional PBE.

Computed properties:
Density: 6.819 g/cm3
Uncorrected formation energy: -2.574 eV/atom

abc: 6.8013 7.0660 6.7097
angles: 90.00 90.00 90.00
Space group Cmmm (No. 65)
One atom of each set of equivalent atoms:
Np 0.0000 0.0000 0.0000
Sc 0.0000 0.5000 0.2534
Pb 0.0000 0.0000 0.5000
O 0.0000 0.1989 0.2341
O 0.1905 0.5000 0.5000
O 0.1999 0.5000 0.0000

=====

No. 8
A geometry-optimized NpScPb2O6 structure. Source: the Alexandria database, functional PBE.

Computed properties:
Density: 8.899 g/cm3
Uncorrected formation energy: -2.339 eV/atom

abc: 5.9183 5.9516 10.2650
angles: 90.00 125.13 90.00
Space group P2_1/c (No. 14)
One atom of each set of equivalent atoms:
Np 0.0000 0.0000 0.0000
Sc 0.5000 0.0000 0.5000
Pb 0.2573 0.0246 0.7518
O 0.1760 0.0151 0.2507
O 0.2525 0.7123 0.0401
O 0.3279 0.2117 0.0375